A relaxed Co5Mo crystal, computed with PBE.

Unit cell a=6.7853 b=6.7853 c=4.0741 alpha=90.00 beta=90.00 gamma=158.32
Last column: magnetic moment on the atom in μB.
Fractional coordinates of all 6 atoms:
Co1 0.5616 0.4384 0.5000  1.30
Co2 0.3267 0.6733 0.0000  0.61
Co3 0.6670 0.3330 0.0000  1.52
Co4 0.0041 0.9959 0.0000  1.17
Co5 0.2163 0.7837 0.5000  1.33
Mo1 0.8908 0.1092 0.5000  -0.33

Summary:
D(E_F)   6.9 states/eV/cell
Uncorrected energy   -7.6620 eV per atom
Total magnetization   5.49 μB per cell
SG   Amm2
Density   9.36 Mg/m³
Formation energy   6 kJ per mole of atoms